Entry 1:
The following is a meta-GGA SCAN calculation of a crystal of MgFeBr3 relaxed with PBEsol, from Alexandria via LeMat-Bulk.

Its formation energy (no corrections) is -0.447 eV per atom. Its crystal system is cubic. The calculation puts the total energy at -83.72 eV for the cell shown.

The space group is Pm-3m (No. 221) and the conventional cell measures 5.133, 5.133 and 5.133 Å, with angles of 90.00, 90.00 and 90.00 degrees. The distinct sites, in fractional coordinates, are Mg at (0.000, 0.000, 0.000), Fe at (0.500, 0.500, 0.500) and Br at (0.000, 0.000, 0.500).

=====

Entry 2:
The following is a meta-GGA SCAN calculation of a crystal of MnFe3Br relaxed with PBEsol, from Alexandria via LeMat-Bulk.

Its formation energy (no corrections) is 1.149 eV per atom. Its crystal system is cubic. The calculation puts the total energy at -86.36 eV for the cell shown.

The space group is Pm-3m (No. 221) and the conventional cell measures 4.267, 4.267 and 4.267 Å, with angles of 90.00, 90.00 and 90.00 degrees. The distinct sites, in fractional coordinates, are Mn at (0.000, 0.000, 0.000), Fe at (0.000, 0.500, 0.500) and Br at (0.500, 0.500, 0.500).

=====

Entry 3:
The following is a meta-GGA SCAN calculation of a crystal of FeMoBr2 relaxed with PBEsol, from Alexandria via LeMat-Bulk.

Its formation energy (no corrections) is 0.679 eV per atom. Its crystal system is trigonal. The calculation puts the total energy at -267.65 eV for the cell shown. The value obtained for the energy above the most stable polymorph in this dataset is 0.0 meV per atom.

The space group is R-3m (No. 166, hexagonal axes) and the conventional cell measures 3.1449, 3.1449 and 25.1383 Å, with angles of 90.00, 90.00 and 120.00 degrees. The distinct sites, in fractional coordinates, are Fe at (0.0000, 0.0000, 0.0000), Mo at (0.0000, 0.0000, 0.5000) and Br at (0.0000, 0.0000, 0.0927).

=====

Entry 4:
The following is a meta-GGA SCAN calculation of a crystal of Fe3MoBr relaxed with PBEsol, from Alexandria via LeMat-Bulk.

Its formation energy (no corrections) is 1.611 eV per atom. Its crystal system is cubic. The calculation puts the total energy at -100.68 eV for the cell shown.

The space group is Pm-3m (No. 221) and the conventional cell measures 4.211, 4.211 and 4.211 Å, with angles of 90.00, 90.00 and 90.00 degrees. The distinct sites, in fractional coordinates, are Fe at (0.000, 0.000, 0.500), Mo at (0.500, 0.500, 0.500) and Br at (0.000, 0.000, 0.000).

=====

Entry 5:
The following is a meta-GGA SCAN calculation of a crystal of FeMoBr2 relaxed with PBEsol, from Alexandria via LeMat-Bulk.

Its formation energy (no corrections) is 0.896 eV per atom. Its crystal system is tetragonal. The calculation puts the total energy at -88.35 eV for the cell shown. The value obtained for the energy above the most stable polymorph in this dataset is 216.7 meV per atom.

The space group is P4/mmm (No. 123) and the conventional cell measures 3.172, 3.172 and 6.278 Å, with angles of 90.00, 90.00 and 90.00 degrees. The distinct sites, in fractional coordinates, are Fe at (0.000, 0.000, 0.000), Mo at (0.000, 0.000, 0.500) and Br at (0.500, 0.500, 0.247).

=====

Entry 6:
The following is a meta-GGA SCAN calculation of a crystal of FeBrN2O relaxed with PBEsol, from Alexandria via LeMat-Bulk.

Its formation energy (no corrections) is 1.916 eV per atom. Its crystal system is tetragonal. The calculation puts the total energy at -52.82 eV for the cell shown.

The space group is P4/mmm (No. 123) and the conventional cell measures 3.877, 3.877 and 3.790 Å, with angles of 90.00, 90.00 and 90.00 degrees. The distinct sites, in fractional coordinates, are Fe at (0.000, 0.000, 0.000), Br at (0.500, 0.500, 0.500), N at (0.000, 0.500, 0.500) and O at (0.500, 0.500, 0.000).

=====

Entry 7:
The following is a meta-GGA SCAN calculation of a crystal of NaFeBr4 relaxed with PBEsol, from Alexandria via LeMat-Bulk.

Its formation energy (no corrections) is -1.036 eV per atom. Its crystal system is orthorhombic. The calculation puts the total energy at -425.59 eV for the cell shown.

The space group is Pnma (No. 62) and the conventional cell measures 13.619, 7.390 and 7.403 Å, with angles of 90.00, 90.00 and 90.00 degrees. The distinct sites, in fractional coordinates, are Na at (0.153, 0.250, 0.051), Fe at (0.102, 0.750, 0.799), Br at (0.035, 0.250, 0.384), Br at (0.053, 0.750, 0.100) and Br at (0.201, 0.002, 0.736).

=====

Entry 8:
The following is a meta-GGA SCAN calculation of a crystal of NaFeSe2Br relaxed with PBEsol, from Alexandria via LeMat-Bulk.

Its formation energy (no corrections) is 0.686 eV per atom. Its crystal system is tetragonal. The calculation puts the total energy at -78.53 eV for the cell shown.

The space group is P4/mmm (No. 123) and the conventional cell measures 4.990, 4.990 and 5.117 Å, with angles of 90.00, 90.00 and 90.00 degrees. The distinct sites, in fractional coordinates, are Na at (0.000, 0.000, 0.000), Fe at (0.500, 0.500, 0.500), Se at (0.000, 0.500, 0.000) and Br at (0.000, 0.000, 0.500).